{"formula": "Ti6Ga3Co", "functional": "GGA-PBE", "state": "optimized geometry", "lattice": [[-3.4294, -0.8687, 3.5744], [-4.8845, -1.8547, -5.1370], [2.4906, -8.5860, 0.7318]], "species": ["Co", "Ga", "Ti", "Ti", "Co", "Ti", "Ti", "Ti", "Ga", "Ga", "Ti", "Ti", "Ga", "Ti", "Ti", "Ti", "Ga", "Ti", "Ga", "Ti"], "frac_coords": [[0.0000, 0.0000, 0.0000], [0.8774, 0.3797, 0.7561], [0.9126, 0.6611, 0.5568], [0.5749, 0.1850, 0.5608], [0.5000, 0.5000, 0.5000], [0.4126, 0.8389, 0.0568], [0.3474, 0.5436, 0.7371], [0.8474, 0.9564, 0.2371], [0.1226, 0.6203, 0.2439], [0.5000, 0.5000, 0.0000], [0.4251, 0.8150, 0.4392], [0.1526, 0.0436, 0.7629], [0.0000, 0.0000, 0.5000], [0.5874, 0.1611, 0.9432], [0.0874, 0.3389, 0.4432], [0.0749, 0.3150, 0.0608], [0.6226, 0.8797, 0.7439], [0.6526, 0.4564, 0.2629], [0.3774, 0.1203, 0.2561], [0.9251, 0.6850, 0.9392]], "formation_enthalpy_0k_mev_per_atom": -207, "magmom_total_mub_per_cell": 0.00, "dos_ef_per_ev_cell": 21.0, "final_energy_ev_per_atom": -6.562, "space_group": "P2_1/c (14)"}

=====

{"formula": "HoAl6Os", "functional": "GGA-PBE", "state": "optimized geometry", "lattice": [[5.8095, 0.0000, 0.0000], [2.9048, 5.0312, 0.0000], [2.9048, 1.6771, 6.0044]], "species": ["Al", "Al", "Al", "Ho", "Os", "Al", "Al", "Al"], "frac_coords": [[0.0831, 0.0831, 0.2763], [0.9169, 0.9169, 0.7237], [0.4425, 0.9169, 0.7237], [0.5000, 0.5000, 0.5000], [0.0000, 0.0000, 0.0000], [0.9169, 0.4425, 0.7237], [0.5575, 0.0831, 0.2763], [0.0831, 0.5575, 0.2763]], "formation_enthalpy_0k_mev_per_atom": 46, "magmom_total_mub_per_cell": 0.00, "dos_ef_per_ev_cell": 3.0, "final_energy_ev_per_atom": -4.737, "space_group": "R-3m (166)"}

=====

{"formula": "Mo2PCl", "functional": "GGA-PBE", "state": "optimized geometry", "lattice": [[3.1514, 0.0000, 0.0000], [0.0000, 3.1514, 0.0000], [0.0000, 0.0000, 6.5997]], "species": ["P", "Cl", "Mo", "Mo"], "frac_coords": [[0.5000, 0.5000, 0.2500], [0.5000, 0.5000, 0.7500], [0.0000, 0.0000, 0.4320], [0.0000, 0.0000, 0.0680]], "formation_energy_uncorrected_kj_per_mol_atoms": 0, "magmom_total_mub_per_cell": 0.00, "dos_ef_per_ev_cell": 2.6, "final_energy_ev_per_atom": -7.225, "polymorph_energy_mev_per_atom": 93, "space_group": "P4/mmm (123)"}